[1]
Ho2ErAlC after structural relaxation. Source: Alexandria, functional PBE.

Cell and atoms, written as POSCAR:
```
Ho2ErAlC
1.0
4.8568 0.0000 0.0000
0.0000 4.8568 0.0000
0.0000 0.0000 4.8297
Ho Er Al C
2 1 1 1
Direct
0.0000 0.5000 0.0000
0.5000 0.0000 0.0000
0.0000 0.0000 0.5000
0.5000 0.5000 0.5000
0.0000 0.0000 0.0000
```

Calculated values
Calculated total energy in eV/atom: -5.76


[2]
Er2Mn2Al2C after structural relaxation. Source: Alexandria, functional PBE.

Cell and atoms, written as POSCAR:
```
Er2Mn2Al2C
1.0
10.8554 0.0000 0.0000
0.0000 3.3938 0.0000
-1.9613 0.0000 6.2539
Er Mn Al C
4 4 4 2
Direct
0.0066 0.0000 0.2566
0.4934 0.5000 0.7434
0.5066 0.5000 0.2566
0.9934 0.0000 0.7434
0.1835 0.5000 0.0599
0.3165 0.0000 0.9401
0.6835 0.0000 0.0599
0.8165 0.5000 0.9401
0.2031 0.5000 0.6455
0.2969 0.0000 0.3545
0.7031 0.0000 0.6455
0.7969 0.5000 0.3545
0.0000 0.5000 0.0000
0.5000 0.0000 0.0000
```

Calculated values
Calculated total energy in eV/atom: -6.55


[3]
ErMn2AlC after structural relaxation. Source: Alexandria, functional PBE.

Cell and atoms, written as POSCAR:
```
ErMn2AlC
1.0
1.8824 -5.3734 0.0000
1.8824 5.3734 0.0000
0.0000 0.0000 7.1255
Er Mn Al C
2 4 2 2
Direct
0.0384 0.9616 0.7500
0.9616 0.0384 0.2500
0.3354 0.6646 0.5654
0.3354 0.6646 0.9346
0.6646 0.3354 0.0654
0.6646 0.3354 0.4346
0.2409 0.7591 0.2500
0.7591 0.2409 0.7500
0.5000 0.5000 0.0000
0.5000 0.5000 0.5000
```

Calculated values
Calculated total energy in eV/atom: -7.40


[4]
Er6Al2CO after structural relaxation. Source: Alexandria, functional PBE.

Cell and atoms, written as POSCAR:
```
Er6Al2CO
1.0
0.0000 4.7464 4.7464
4.7464 0.0000 4.7464
4.7464 4.7464 0.0000
Er Al C O
6 2 1 1
Direct
0.2486 0.2486 0.7514
0.2486 0.7514 0.2486
0.2486 0.7514 0.7514
0.7514 0.2486 0.2486
0.7514 0.2486 0.7514
0.7514 0.7514 0.2486
0.2500 0.2500 0.2500
0.7500 0.7500 0.7500
0.0000 0.0000 0.0000
0.5000 0.5000 0.5000
```

Calculated values
ΔE_f (raw) in eV per atom: -0.945


[5]
Pm2ErAlC after structural relaxation. Source: Alexandria, functional PBE.

Cell and atoms, written as POSCAR:
```
Pm2ErAlC
1.0
5.0567 0.0000 0.0000
0.0000 5.0567 0.0000
0.0000 0.0000 4.8341
Pm Er Al C
2 1 1 1
Direct
0.0000 0.5000 0.0000
0.5000 0.0000 0.0000
0.0000 0.0000 0.5000
0.5000 0.5000 0.5000
0.0000 0.0000 0.0000
```

Calculated values
Calculated total energy in eV/atom: -5.69


[6]
ErSc2AlC after structural relaxation. Source: Alexandria, functional PBE.

Cell and atoms, written as POSCAR:
```
ErSc2AlC
1.0
4.5399 0.0000 0.0000
0.0000 4.5399 0.0000
0.0000 0.0000 4.7933
Er Sc Al C
1 2 1 1
Direct
0.0000 0.0000 0.0000
0.0000 0.5000 0.5000
0.5000 0.0000 0.5000
0.5000 0.5000 0.0000
0.0000 0.0000 0.5000
```

Calculated values
Calculated total energy in eV/atom: -6.57


[7]
Er2AlSiC after structural relaxation. Source: Alexandria, functional PBE.

Cell and atoms, written as POSCAR:
```
Er2AlSiC
1.0
6.6120 0.0000 0.0000
0.0000 3.7907 0.0000
-2.3194 0.0000 7.5931
Er Al Si C
4 2 2 2
Direct
0.1769 0.2500 0.3827
0.1997 0.2500 0.9633
0.8003 0.7500 0.0367
0.8231 0.7500 0.6173
0.4727 0.7500 0.2555
0.5273 0.2500 0.7445
0.2869 0.7500 0.6931
0.7131 0.2500 0.3069
0.1671 0.7500 0.1705
0.8329 0.2500 0.8295
```

Calculated values
ΔE_f (raw) in eV per atom: -0.504


[8]
Sm2ErAlC after structural relaxation. Source: Alexandria, functional PBE.

Cell and atoms, written as POSCAR:
```
Sm2ErAlC
1.0
5.0246 0.0000 0.0000
0.0000 5.0246 0.0000
0.0000 0.0000 4.8321
Sm Er Al C
2 1 1 1
Direct
0.0000 0.5000 0.0000
0.5000 0.0000 0.0000
0.0000 0.0000 0.5000
0.5000 0.5000 0.5000
0.0000 0.0000 0.0000
```

Calculated values
Calculated total energy in eV/atom: -5.70


Computed total magnetization, in the same sequence as the records: 0.0, 4.2, 6.0, 0.0, 0.0, 0.0, 0.0, 0.0 μB/cell.